First-principles (PBE) data for RbPuSe2 after structural relaxation, as listed in Alexandria via LeMat-Bulk.

Its uncorrected formation energy is -5.1 eV/f.u. The density of states at the Fermi level comes out at 1.93 states/eV per atom. The volume is 27.75 Å³ per atom. The crystal system is tetragonal. As for the magnetic moment: 5.00 μB per formula unit. The electronic total energy comes out at -6.853 eV per atom.

The space group is P4/mmm (No. 123) and the conventional cell measures 3.686, 3.686 and 8.169 Å, with angles of 90.00, 90.00 and 90.00 degrees. The inequivalent atoms are Rb at (0.000, 0.000, 0.000), Pu at (0.000, 0.000, 0.500) and Se at (0.500, 0.500, 0.298).